No. 1
DFT (PBE) results for a relaxed Th6Co3C2N crystal.

Unit cell a=8.7740 b=8.7740 c=7.9378 alpha=107.32 beta=107.32 gamma=24.64
Last column: nearest neighbours and their distance in Å.
Sites, in units of the cell vectors:
Th  0.0058  0.0058  0.2385  1 C 2.59, 2 N 2.64, 3 Co 2.76-2.82
Th  0.3302  0.3302  0.4300  3 C 2.68-2.72, 3 Co 2.79-2.81
Th  0.3362  0.3362  0.9100  2 C 2.64, 1 N 2.68, 3 Co 2.79-2.85
Th  0.6638  0.6638  0.0900  2 C 2.64, 1 N 2.68, 3 Co 2.79-2.85
Th  0.6698  0.6698  0.5700  3 C 2.68-2.72, 3 Co 2.79-2.81
Th  0.9942  0.9942  0.7615  1 C 2.59, 2 N 2.64, 3 Co 2.76-2.82
Co  0.1622  0.1622  0.8288  6 Th 2.76-2.85
Co  0.5000  0.5000  0.5000  6 Th 2.79-2.82
Co  0.8378  0.8378  0.1712  6 Th 2.76-2.85
C  0.1639  0.1639  0.3251  6 Th 2.59-2.72
C  0.8361  0.8361  0.6749  6 Th 2.59-2.72
N  0.5000  0.5000  0.0000  6 Th 2.64-2.68

Computed properties:
The calculation puts the formation energy without anion corrections at -0.3468 eV/atom. The symmetry is C2/m (12).

=====

No. 2
DFT (PBE) results for a relaxed NbCd2Ge crystal.

Unit cell a=11.8189 b=11.8189 c=11.8189 alpha=14.08 beta=14.08 gamma=14.08
Last column: nearest neighbours and their distance in Å.
Sites, in units of the cell vectors:
Nb  0.0000  0.0000  0.0000  6 Nb 2.90, 2 Cd 3.05
Cd  0.0870  0.0870  0.0870  6 Cd 2.90, 1 Nb 3.05
Cd  0.9130  0.9130  0.9130  6 Cd 2.90, 1 Nb 3.05
Ge  0.5000  0.5000  0.5000  6 Ge 2.90

Computed properties:
The symmetry is R-3m (166). As for the formation energy: 0.4931 eV/atom.

=====

No. 3
DFT (PBE) results for a relaxed SrEu2Tl crystal.

Unit cell a=5.9052 b=5.9052 c=5.9052 alpha=60.00 beta=60.00 gamma=60.00
Last column: nearest neighbours and their distance in Å.
Sites, in units of the cell vectors:
Sr  0.0000  0.0000  0.0000  8 Eu 3.62
Eu  0.2500  0.2500  0.2500  4 Tl 3.62, 4 Sr 3.62
Eu  0.7500  0.7500  0.7500  4 Tl 3.62, 4 Sr 3.62
Tl  0.5000  0.5000  0.5000  8 Eu 3.62

Computed properties:
The symmetry is Fm-3m (225). As for the formation energy: -0.1098 eV/atom.

=====

No. 4
DFT (PBE) results for a relaxed KBa2HgPt crystal.

Unit cell a=6.2277 b=6.2277 c=5.5100 alpha=90.00 beta=90.00 gamma=90.00
Last column: nearest neighbours and their distance in Å.
Sites, in units of the cell vectors:
K  0.0000  0.0000  0.0000  8 Ba 4.16, 4 Hg 4.40
Ba  0.0000  0.5000  0.5000  2 Pt 3.11
Ba  0.5000  0.0000  0.5000  2 Pt 3.11
Hg  0.5000  0.5000  0.0000  2 Pt 2.76
Pt  0.5000  0.5000  0.5000  2 Hg 2.76

Computed properties:
The symmetry is P4/mmm (123). As for the formation energy: -0.3428 eV/atom.

=====

No. 5
DFT (PBE) results for a relaxed NbCr crystal.

Unit cell a=6.7272 b=6.7272 c=6.7272 alpha=92.66 beta=92.66 gamma=155.10
Last column: nearest neighbours and their distance in Å.
Sites, in units of the cell vectors:
Nb  0.1561  0.1561  0.3122  4 Cr 2.74, 6 Nb 2.86-2.90
Nb  0.1561  0.8439  0.0000  4 Cr 2.74, 6 Nb 2.86-2.90
Nb  0.8439  0.1561  0.0000  4 Cr 2.74, 6 Nb 2.86-2.90
Nb  0.8439  0.8439  0.6878  4 Cr 2.74, 6 Nb 2.86-2.90
Cr  0.1482  0.5000  0.6482  4 Cr 2.43
Cr  0.5000  0.1482  0.6482  4 Cr 2.43
Cr  0.5000  0.8518  0.3518  4 Cr 2.43
Cr  0.8518  0.5000  0.3518  4 Cr 2.43

Computed properties:
The symmetry is I4/mmm (139). As for the formation energy: 0.2376 eV/atom.

=====

No. 6
DFT (PBE) results for a relaxed AcNdEuZn crystal.

Unit cell a=5.7127 b=5.7127 c=5.7127 alpha=60.00 beta=60.00 gamma=60.00
Last column: nearest neighbours and their distance in Å.
Sites, in units of the cell vectors:
Ac  0.0000  0.0000  0.0000  4 Nd 3.50, 4 Eu 3.50
Nd  0.7500  0.7500  0.7500  4 Zn 3.50, 4 Ac 3.50
Eu  0.2500  0.2500  0.2500  4 Zn 3.50, 4 Ac 3.50
Zn  0.5000  0.5000  0.5000  4 Nd 3.50, 4 Eu 3.50

Computed properties:
The symmetry is F-43m (216). As for the formation energy: 0.1659 eV/atom.

=====

No. 7
DFT (PBE) results for a relaxed LiMnTc crystal.

Unit cell a=6.9577 b=6.7695 c=2.6207 alpha=83.06 beta=74.98 gamma=21.96
Last column: nearest neighbours and their distance in Å.
Sites, in units of the cell vectors:
Li  0.0000  0.0000  0.0000  6 Li 2.62-2.93, 2 Mn 2.72, 2 Tc 2.77
Mn  0.3267  0.3267  0.6733  2 Tc 2.45, 4 Mn 2.62, 2 Li 2.72
Tc  0.6780  0.6780  0.3220  2 Mn 2.45, 4 Tc 2.62

Computed properties:
The symmetry is Fmm2 (42). As for the formation energy: 0.2900 eV/atom.

=====

No. 8
DFT (PBE) results for a relaxed BaSc2Si crystal.

Unit cell a=4.7465 b=4.7465 c=4.4875 alpha=90.00 beta=90.00 gamma=90.00
Last column: nearest neighbours and their distance in Å.
Sites, in units of the cell vectors:
Ba  0.0000  0.0000  0.0000  8 Sc 3.27, 4 Si 3.36
Sc  0.0000  0.5000  0.5000  4 Ba 3.27, 4 Si 3.27, 4 Sc 3.36
Sc  0.5000  0.0000  0.5000  4 Ba 3.27, 4 Si 3.27, 4 Sc 3.36
Si  0.5000  0.5000  0.0000  8 Sc 3.27, 4 Ba 3.36

Computed properties:
The calculation puts the formation energy without anion corrections at 0.1367 eV/atom. The symmetry is P4/mmm (123).